Entry 1:
## Dy8YTm5 (GGA-PBE)

Data for a relaxed Dy8YTm5 crystal.

As for the crystal system: tetragonal. Its space-group type is No. 82. Its density of states at the Fermi level is 1.523 states/eV per atom. The calculation puts the energy of formation from the pure elements at 0.26 eV per atom.

a b c (Å): 8.383 8.383 8.383
angles (deg): 111.11 106.25 111.11
Atoms (fractional coordinates):
Dy 0.919 0.081 0.657
Dy 0.162 0.738 0.081
Dy 0.343 0.262 0.424
Dy 0.667 0.394 0.921
Dy 0.079 0.746 0.473
Dy 0.527 0.606 0.272
Dy 0.728 0.254 0.333
Dy 0.576 0.919 0.838
Tm 0.038 0.320 0.134
Tm 0.500 0.000 0.500
Tm 0.814 0.680 0.718
Tm 0.282 0.097 0.962
Tm 0.866 0.903 0.186
Y 0.250 0.500 0.750

***

Entry 2:
## Dy6YTm12 (GGA-PBE)

Data for a relaxed Dy6YTm12 crystal.

As for the crystal system: trigonal. Its space-group type is No. 166. Its density of states at the Fermi level is 1.492 states/eV per atom. The calculation puts the energy of formation from the pure elements at 0.13 eV per atom.

a b c (Å): 8.505 8.505 8.505
angles (deg): 79.85 79.85 79.85
Atoms (fractional coordinates):
Dy 0.768 0.163 0.768
Dy 0.232 0.837 0.232
Dy 0.837 0.232 0.232
Dy 0.768 0.768 0.163
Dy 0.163 0.768 0.768
Dy 0.232 0.232 0.837
Tm 0.135 0.486 0.135
Tm 0.135 0.135 0.486
Tm 0.486 0.486 0.804
Tm 0.514 0.514 0.196
Tm 0.196 0.514 0.514
Tm 0.804 0.486 0.486
Tm 0.865 0.865 0.514
Tm 0.486 0.135 0.135
Tm 0.514 0.196 0.514
Tm 0.486 0.804 0.486
Tm 0.865 0.514 0.865
Tm 0.514 0.865 0.865
Y 0.000 0.000 0.000